This record from Alexandria via LeMat-Bulk describes an optimized crystal structure of TeH2S. The functional is PBE.

Cell and atoms, written as POSCAR:
```
TeH2S
1.0
-1.993 2.111 -1.741
-2.228 -3.713 1.424
-0.376 3.783 5.701
Te H S
1 2 1
direct
0.609 0.566 0.291
0.235 0.907 0.804
0.254 0.799 0.874
0.911 0.129 0.439
```

- total magnetization (μB/f.u.) = 0.00
- electronic total energy (eV/cell) = -13.44